No. 1
# SrLiTa

A geometry-optimized SrLiTa structure (PBE, the Alexandria database).

Cell: 5.302 5.302 5.302 Å, 60.00 60.00 60.00°
Site moments in Bohr magnetons follow the coordinates.
Atoms (fractional coordinates):
Ta (0.500, 0.500, 0.500)  2.20
Sr (0.750, 0.750, 0.750)  0.19
Li (0.250, 0.250, 0.250)  0.01

E_form (eV per atom): 1.689
Energy above the most stable polymorph in this dataset (kJ per mole of atoms): 127.0
Electronic total energy (eV per atom): -3.46
V (Å³/atom): 35.1

No. 2
# Ac2PuHS6

A geometry-optimized Ac2PuHS6 structure (PBE, the Alexandria database).

Cell: 6.802 6.484 7.192 Å, 116.79 121.24 90.00°
Site moments in Bohr magnetons follow the coordinates.
Atoms (fractional coordinates):
Ac (0.238, 0.263, 0.526)  0.00
S (0.665, 0.258, 0.517)  -0.11
S (0.781, 0.817, 0.099)  -0.13
S (0.219, 0.718, 0.901)  -0.13
Ac (0.762, 0.737, 0.474)  0.00
S (0.781, 0.282, 0.099)  -0.13
Pu (0.000, 0.500, 0.000)  3.92
S (0.219, 0.183, 0.901)  -0.13
S (0.335, 0.742, 0.483)  -0.11
H (0.500, 0.000, 0.000)  0.04

Electronic total energy (eV per atom): -6.27
V (Å³/atom): 23.0

No. 3
# Pm2Al4Zn3In

A geometry-optimized Pm2Al4Zn3In structure (PBE, the Alexandria database).

Cell: 4.246 4.246 11.188 Å, 90.00 90.00 90.00°
Atoms (fractional coordinates):
Pm (0.500, 0.000, 0.243)
Pm (0.000, 0.500, 0.757)
Al (0.000, 0.500, 0.350)
In (0.500, 0.500, 0.500)
Zn (0.000, 0.500, 0.133)
Al (0.500, 0.000, 0.650)
Al (0.000, 0.000, 0.000)
Zn (0.000, 0.000, 0.500)
Zn (0.500, 0.000, 0.867)
Al (0.500, 0.500, 0.000)

E_form (eV per atom): -0.366
Electronic total energy (eV per atom): -3.47
V (Å³/atom): 20.2

No. 4
# SbAs2Pb

A geometry-optimized SbAs2Pb structure (PBE, the Alexandria database).

Cell: 5.753 3.133 6.561 Å, 61.36 90.00 90.00°
Atoms (fractional coordinates):
Sb (0.500, 0.786, 0.875)
As (0.500, 0.278, 0.375)
Pb (0.000, 0.633, 0.375)
As (0.000, 0.803, 0.875)

Energy above the most stable polymorph in this dataset (kJ per mole of atoms): 11.0
Energy relative to the elements, uncorrected (meV/atom): 147
Electronic total energy (eV per atom): -4.13
V (Å³/atom): 25.9

No. 5
# UTePdS

A geometry-optimized UTePdS structure (PBE, the Alexandria database).

Cell: 4.372 4.372 8.878 Å, 90.00 90.00 90.00°
Site moments in Bohr magnetons follow the coordinates.
Atoms (fractional coordinates):
Pd (0.000, 0.000, 0.000)  -0.09
S (0.500, 0.500, 0.500)  -0.09
Pd (0.500, 0.500, 0.000)  -0.09
S (0.000, 0.000, 0.500)  -0.09
U (0.000, 0.500, 0.314)  2.16
Te (0.500, 0.000, 0.186)  -0.07
U (0.500, 0.000, 0.686)  2.16
Te (0.000, 0.500, 0.814)  -0.07

Energy relative to the elements, uncorrected (meV/atom): -845
Electronic total energy (eV per atom): -6.78
V (Å³/atom): 21.2

No. 6
# YTaCoSi2

A geometry-optimized YTaCoSi2 structure (PBE, the Alexandria database).

Cell: 4.366 4.822 4.366 Å, 90.00 90.00 90.00°
Atoms (fractional coordinates):
Co (0.000, 0.000, 0.000)
Ta (0.500, 0.500, 0.500)
Y (0.000, 0.500, 0.000)
Si (0.500, 0.000, 0.000)
Si (0.000, 0.000, 0.500)

Energy relative to the elements, uncorrected (meV/atom): 435
Electronic total energy (eV per atom): -6.82
V (Å³/atom): 18.4

No. 7
# La2AlIn

A geometry-optimized La2AlIn structure (PBE, the Alexandria database).

Cell: 3.564 3.564 9.254 Å, 90.00 90.00 90.00°
Atoms (fractional coordinates):
La (0.500, 0.500, 0.303)
La (0.000, 0.000, 0.959)
In (0.500, 0.500, 0.705)
Al (0.000, 0.000, 0.532)

E_form (eV per atom): -0.170
Electronic total energy (eV per atom): -4.25
V (Å³/atom): 29.4

No. 8
# Tm3HgRu

A geometry-optimized Tm3HgRu structure (PBE, the Alexandria database).

Cell: 5.463 6.384 8.563 Å, 111.80 79.87 118.20°
Atoms (fractional coordinates):
Tm (0.500, 0.196, 0.893)
Tm (0.500, 0.804, 0.107)
Ru (0.000, 0.249, 0.998)
Hg (0.589, 0.246, 0.500)
Ru (0.000, 0.751, 0.002)
Hg (0.411, 0.754, 0.500)
Tm (0.139, 0.420, 0.727)
Tm (0.861, 0.580, 0.273)
Tm (0.139, 0.193, 0.274)
Tm (0.861, 0.807, 0.726)

E_form (eV per atom): -0.447
Electronic total energy (eV per atom): -5.05
V (Å³/atom): 24.4

No. 9
# TmMnTe2

A geometry-optimized TmMnTe2 structure (PBE, the Alexandria database).

Cell: 3.891 3.891 9.453 Å, 78.12 78.12 60.00°
Site moments in Bohr magnetons follow the coordinates.
Atoms (fractional coordinates):
Mn (0.500, 0.500, 0.500)  3.71
Tm (0.000, 0.000, 0.000)  0.10
Te (0.891, 0.891, 0.326)  -0.05
Te (0.109, 0.109, 0.674)  -0.05

Energy relative to the elements, uncorrected (meV/atom): -180
Electronic total energy (eV per atom): -5.16
V (Å³/atom): 30.1

No. 10
# DyZn4Au

A geometry-optimized DyZn4Au structure (PBE, the Alexandria database).

Cell: 5.296 5.296 5.296 Å, 60.00 60.00 60.00°
Atoms (fractional coordinates):
Au (0.000, 0.000, 0.000)
Zn (0.625, 0.625, 0.625)
Zn (0.625, 0.625, 0.125)
Dy (0.250, 0.250, 0.250)
Zn (0.125, 0.625, 0.625)
Zn (0.625, 0.125, 0.625)

E_form (eV per atom): -0.235
Energy above the most stable polymorph in this dataset (kJ per mole of atoms): 8.5
Electronic total energy (eV per atom): -2.40
V (Å³/atom): 17.5

No. 11
# Cs2Cd3SnHg12

A geometry-optimized Cs2Cd3SnHg12 structure (PBE, the Alexandria database).

Cell: 11.356 11.356 11.356 Å, 48.62 48.62 48.62°
Atoms (fractional coordinates):
Hg (0.067, 0.668, 0.067)
Hg (0.006, 0.653, 0.653)
Cs (0.364, 0.364, 0.364)
Hg (0.067, 0.067, 0.668)
Hg (0.653, 0.006, 0.653)
Hg (0.347, 0.994, 0.347)
Hg (0.668, 0.067, 0.067)
Hg (0.347, 0.347, 0.994)
Hg (0.653, 0.653, 0.006)
Hg (0.332, 0.933, 0.933)
Hg (0.994, 0.347, 0.347)
Cd (0.500, 0.000, 0.000)
Sn (0.000, 0.000, 0.000)
Cd (0.000, 0.000, 0.500)
Cd (0.000, 0.500, 0.000)
Hg (0.933, 0.933, 0.332)
Hg (0.933, 0.332, 0.933)
Cs (0.636, 0.636, 0.636)

E_form (eV per atom): -0.024
Electronic total energy (eV per atom): -0.70
V (Å³/atom): 42.0

No. 12
# RbCr2PtPb

A geometry-optimized RbCr2PtPb structure (PBE, the Alexandria database).

Cell: 5.231 5.893 5.231 Å, 90.00 90.00 90.00°
Site moments in Bohr magnetons follow the coordinates.
Atoms (fractional coordinates):
Pt (0.500, 0.500, 0.500)  0.03
Pb (0.000, 0.500, 0.000)  -0.11
Rb (0.000, 0.000, 0.000)  0.17
Cr (0.000, 0.000, 0.500)  4.17
Cr (0.500, 0.000, 0.000)  4.30

E_form (eV per atom): 2.326
Electronic total energy (eV per atom): -3.67
V (Å³/atom): 32.2

What did the seventh record say?
# La2AlIn

A geometry-optimized La2AlIn structure (PBE, the Alexandria database).

Cell: 3.564 3.564 9.254 Å, 90.00 90.00 90.00°
Atoms (fractional coordinates):
La (0.500, 0.500, 0.303)
La (0.000, 0.000, 0.959)
In (0.500, 0.500, 0.705)
Al (0.000, 0.000, 0.532)

E_form (eV per atom): -0.170
Electronic total energy (eV per atom): -4.25
V (Å³/atom): 29.4